Entry from the Alexandria database: crystalline SrCu2I4 at its relaxed geometry (PBE).

As for the volume: 279.95 Å³ per cell. The calculation puts the final energy at -21.03 eV per cell. For the total moment, the calculation gives 0.000 Bohr magnetons per cell. The calculation puts the raw formation energy at -0.708 eV/atom.

The space group is P-42m (No. 111) and the conventional cell measures 6.253, 6.253 and 7.160 Å, with angles of 90.00, 90.00 and 90.00 degrees. The inequivalent atoms are Sr at (0.000, 0.000, 0.000), Cu at (0.000, 0.500, 0.500) and I at (0.267, 0.267, 0.295).